CsMoPdF6 after structural relaxation, computed with GGA+U.

a b c (Å): 5.5504 5.3387 6.4256
angles (deg): 88.07 87.75 70.69
Closest atoms and distances in Å follow each position.
Positions (direct):
Cs 0.0140 0.0622 0.9695  6 F 2.97-3.11
Mo 0.6417 0.6298 0.5103  6 F 1.95-2.07
Pd 0.3347 0.3960 0.4505  3 F 2.16-2.42
F 0.9336 0.3218 0.4049  1 Mo 2.00
F 0.3982 0.9743 0.6103  1 Mo 2.00
F 0.5460 0.4470 0.7637  1 Mo 2.01
F 0.8966 0.6514 0.7123  1 Mo 1.99
F 0.4346 0.6765 0.2430  1 Mo 2.07, 1 Pd 2.16
F 0.8005 0.8411 0.3355  1 Mo 1.95

Results
- raw total energy (eV/atom) = -4.8060
- crystal system = triclinic